Entry i
ZrAl2Si4 | PBE | relaxed

Cell lengths 3.7997, 3.7997, 10.7646 Å; angles 90.00, 90.00, 120.00 degrees
Last column: nearest neighbours and their distance in Å.
Space group P3m1 (No. 156)
Asymmetric unit:
Zr  0.0000  0.0000  0.0000 x1  4 Si 2.72-2.87, 3 Al 2.81
Al  0.3333  0.6667  0.8367 x1  3 Si 2.57, 3 Zr 2.81
Al  0.6667  0.3333  0.3916 x1  5 Si 2.46-2.61
Si  0.0000  0.0000  0.2667 x1  3 Si 2.53, 3 Al 2.57
Si  0.0000  0.0000  0.7125 x1  3 Si 2.41, 3 Al 2.57
Si  0.6667  0.3333  0.1490 x1  3 Si 2.53, 1 Al 2.61, 3 Zr 2.72
Si  0.6667  0.3333  0.6201 x1  3 Si 2.41, 1 Al 2.46

Calculated values
density: 3177 kg/m³

=====

Entry ii
ZrAl2Si4 | PBE | relaxed

Cell lengths 4.3047, 5.8046, 21.0024 Å; angles 90.00, 90.00, 90.00 degrees
Last column: nearest neighbours and their distance in Å.
Space group Cmc2_1 (No. 36)
Asymmetric unit:
Zr  0.0000  0.0050  0.0000 x4  5 Si 2.74-3.04, 3 Al 2.81-2.95
Al  0.0000  0.4118  0.1960 x4  5 Si 2.45-2.65
Al  0.0000  0.4151  0.9173 x4  4 Si 2.59-2.62, 2 Zr 2.81
Si  0.0000  0.0159  0.1328 x4  3 Si 2.48-2.57, 3 Al 2.60-2.65
Si  0.0000  0.0242  0.8554 x4  3 Si 2.35-2.46, 3 Al 2.59-2.62
Si  0.0000  0.3471  0.3111 x4  3 Si 2.35-2.46, 2 Al 2.45-2.62
Si  0.0000  0.3897  0.0759 x4  3 Si 2.48-2.57, 1 Al 2.53, 3 Zr 2.74-2.76

Calculated values
density: 3260 kg/m³

=====

What should be chosen as the most stable of them? Choose entry ii.

=====

Entry i
Zr3AlSi | PBE | relaxed

Cell lengths 4.9152, 4.9152, 4.9152 Å; angles 90.00, 90.00, 90.00 degrees
Last column: nearest neighbours and their distance in Å.
Space group Pm-3m (No. 221)
Asymmetric unit:
Zr  0.0000  0.0000  0.5000 x3  2 Si 2.46
Al  0.5000  0.5000  0.5000 x1  12 Zr 3.48
Si  0.0000  0.0000  0.0000 x1  6 Zr 2.46

Calculated values
density: 4597 kg/m³

=====

Entry ii
Zr3AlSi | PBE | relaxed

Cell lengths 6.6703, 6.6703, 6.6703 Å; angles 90.00, 90.00, 90.00 degrees
Last column: nearest neighbours and their distance in Å.
Space group Pm-3m (No. 221)
Asymmetric unit:
Zr  0.0000  0.0000  0.0000 x1  8 Zr 3.04, 6 Al 3.34
Zr  0.2635  0.2635  0.2635 x8  3 Si 2.84, 3 Al 2.94, 4 Zr 3.04-3.15
Al  0.0000  0.0000  0.5000 x3  8 Zr 2.94
Si  0.0000  0.5000  0.5000 x3  8 Zr 2.84

Calculated values
density: 5518 kg/m³

=====

Entry iii
Zr3AlSi | PBE | relaxed

Cell lengths 6.6773, 6.6773, 6.6773 Å; angles 90.00, 90.00, 90.00 degrees
Last column: nearest neighbours and their distance in Å.
Space group Pm-3m (No. 221)
Asymmetric unit:
Zr  0.0000  0.0000  0.0000 x1  8 Zr 3.00, 6 Si 3.34
Zr  0.2591  0.2591  0.2591 x8  3 Al 2.86, 3 Si 2.93, 1 Zr 3.00
Al  0.0000  0.5000  0.5000 x3  8 Zr 2.86
Si  0.0000  0.0000  0.5000 x3  8 Zr 2.93

Calculated values
density: 5501 kg/m³

=====

What should be chosen as the most stable of them? Choose entry ii.

=====

Entry i
Zr3Al2Si | PBE | relaxed

Cell lengths 6.0540, 6.0540, 7.2908 Å; angles 90.00, 90.00, 120.00 degrees
Last column: nearest neighbours and their distance in Å.
Space group P-3m1 (No. 164)
Asymmetric unit:
Zr  0.1700  0.3400  0.1743 x6  3 Al 2.94-2.97, 3 Si 2.95-3.03, 6 Zr 2.97-3.10
Al  0.0000  0.0000  0.5000 x1  6 Zr 2.97, 6 Al 3.03
Al  0.0000  0.5000  0.5000 x3  4 Zr 2.94, 6 Al 3.03, 2 Si 3.06
Si  0.3333  0.6667  0.8447 x2  9 Zr 2.95-3.03, 3 Al 3.06

Calculated values
density: 5106 kg/m³

=====

Entry ii
Zr3Al2Si | PBE | relaxed

Cell lengths 3.7938, 14.0623, 4.2838 Å; angles 90.00, 90.00, 90.00 degrees
Last column: nearest neighbours and their distance in Å.
Space group Cmmm (No. 65)
Asymmetric unit:
Zr  0.0000  0.0000  0.0000 x2  4 Si 2.86, 4 Zr 3.12, 4 Al 3.15
Zr  0.0000  0.1612  0.5000 x4  6 Al 2.87-3.11, 2 Si 2.96, 4 Zr 3.12-3.14
Al  0.0000  0.3215  0.0000 x4  2 Al 2.76, 4 Zr 2.87
Si  0.0000  0.5000  0.5000 x2  8 Zr 2.86-2.96

Calculated values
density: 5169 kg/m³

=====

Entry iii
Zr3Al2Si | PBE | relaxed

Cell lengths 5.6461, 5.6461, 4.9034 Å; angles 90.00, 90.00, 120.00 degrees
Last column: nearest neighbours and their distance in Å.
Space group P6/mmm (No. 191)
Asymmetric unit:
Zr  0.0000  0.5000  0.0000 x3  4 Zr 2.82, 4 Al 2.94
Al  0.3333  0.6667  0.5000 x2  6 Zr 2.94, 3 Si 3.26, 3 Al 3.26
Si  0.0000  0.0000  0.5000 x1  6 Al 3.26

Calculated values
density: 4364 kg/m³

=====

What should be chosen as the most stable of them? Choose entry ii.

=====

Entry i
ZrAl2Si5 | PBE | relaxed

Cell lengths 2.9444, 8.0467, 10.8195 Å; angles 90.00, 90.00, 90.00 degrees
Last column: nearest neighbours and their distance in Å.
Space group Immm (No. 71)
Asymmetric unit:
Zr  0.0000  0.0000  0.0000 x2  8 Si 2.92, 2 Zr 2.94, 4 Al 3.10
Al  0.0000  0.5000  0.2476 x4  7 Si 2.64-2.75, 2 Al 2.94
Si  0.0000  0.2281  0.3848 x8  3 Si 2.49-2.66, 3 Al 2.64-2.75
Si  0.0000  0.5000  0.0000 x2  10 Si 2.66-2.94, 2 Al 2.68

Calculated values
density: 3700 kg/m³

=====

Entry ii
ZrAl2Si5 | PBE | relaxed

Cell lengths 3.9125, 3.9125, 16.3489 Å; angles 90.00, 90.00, 90.00 degrees
Last column: nearest neighbours and their distance in Å.
Space group I4/mmm (No. 139)
Asymmetric unit:
Zr  0.0000  0.0000  0.0000 x2  12 Si 2.77-2.89
Al  0.0000  0.0000  0.2551 x4  8 Si 2.71-2.82, 4 Al 2.77
Si  0.0000  0.0000  0.5000 x2  4 Zr 2.77, 8 Si 2.89
Si  0.0000  0.5000  0.1305 x8  4 Al 2.71-2.82, 6 Si 2.77-2.89, 2 Zr 2.89

Calculated values
density: 3790 kg/m³

=====

Entry iii
ZrAl2Si5 | PBE | relaxed

Cell lengths 5.3835, 10.3612, 4.6222 Å; angles 90.00, 90.00, 90.00 degrees
Last column: nearest neighbours and their distance in Å.
Space group Pbam (No. 55)
Asymmetric unit:
Zr  0.0000  0.0000  0.0000 x2  10 Si 2.69-2.96
Al  0.2245  0.3779  0.5000 x4  6 Si 2.56-2.81
Si  0.0000  0.5000  0.0000 x2  2 Zr 2.69, 8 Si 2.87-2.98, 4 Al 2.90
Si  0.2457  0.7456  0.0000 x4  5 Si 2.63-2.87, 2 Al 2.69, 1 Zr 2.89
Si  0.2468  0.1249  0.5000 x4  4 Al 2.56-2.81, 2 Si 2.63

Calculated values
density: 3679 kg/m³

=====

What should be chosen as the most stable of them? Choose entry iii.

=====

Entry i
Zr4AlSi | PBE | relaxed

Cell lengths 6.6867, 6.6867, 5.4284 Å; angles 90.00, 90.00, 90.00 degrees
Last column: nearest neighbours and their distance in Å.
Space group P4/mcc (No. 124)
Asymmetric unit:
Zr  0.1489  0.3388  0.0000 x8  2 Si 2.82, 2 Al 2.92, 1 Zr 2.93
Al  0.5000  0.5000  0.2500 x2  2 Al 2.71, 8 Zr 2.92
Si  0.0000  0.0000  0.2500 x2  2 Si 2.71, 8 Zr 2.82

Calculated values
density: 5746 kg/m³

=====

Entry ii
Zr4AlSi | PBE | relaxed

Cell lengths 3.5726, 20.4996, 6.8449 Å; angles 90.00, 90.00, 90.00 degrees
Last column: nearest neighbours and their distance in Å.
Space group Cmcm (No. 63)
Asymmetric unit:
Zr  0.0000  0.0000  0.0000 x4  4 Si 2.89, 4 Zr 2.99
Zr  0.0000  0.1600  0.0374 x8  3 Al 2.84-2.94, 3 Zr 2.91-3.10, 2 Si 2.91
Zr  0.0000  0.4180  0.2500 x4  1 Al 2.85, 8 Zr 2.99-3.10, 1 Si 3.18
Al  0.0000  0.2791  0.2500 x4  7 Zr 2.84-2.94
Si  0.0000  0.4271  0.7500 x4  9 Zr 2.89-3.18

Calculated values
density: 5564 kg/m³

=====

What should be chosen as the most stable of them? Choose entry i.

=====

Entry i
Zr4AlSi | PBE | relaxed

Cell lengths 8.0281, 8.0281, 8.0281 Å; angles 90.00, 90.00, 90.00 degrees
Last column: nearest neighbours and their distance in Å.
Space group F-43m (No. 216)
Asymmetric unit:
Zr  0.1245  0.1245  0.1245 x16  6 Zr 2.83-2.85
Al  0.2500  0.2500  0.7500 x4  12 Zr 3.33, 4 Si 3.48
Si  0.0000  0.0000  0.5000 x4  12 Zr 3.33, 4 Al 3.48

Calculated values
density: 5391 kg/m³

=====

Entry ii
Zr4AlSi | PBE | relaxed

Cell lengths 3.9619, 19.7266, 6.5133 Å; angles 90.00, 90.00, 90.00 degrees
Last column: nearest neighbours and their distance in Å.
Space group Cmcm (No. 63)
Asymmetric unit:
Zr  0.0000  0.0000  0.0000 x4  6 Zr 2.97-3.26, 4 Al 3.03
Zr  0.0000  0.1728  0.0087 x8  3 Si 2.72-2.73
Zr  0.0000  0.4244  0.2500 x4  1 Si 2.75, 4 Zr 2.97
Al  0.0000  0.4184  0.7500 x4  11 Zr 3.03-3.26
Si  0.0000  0.2851  0.2500 x4  7 Zr 2.72-2.75

Calculated values
density: 5480 kg/m³

=====

What should be chosen as the most stable of them? Choose entry ii.

=====

Entry i
Zr4AlSi | PBE | relaxed

Cell lengths 4.8226, 4.8226, 5.8576 Å; angles 90.00, 90.00, 120.00 degrees
Last column: nearest neighbours and their distance in Å.
Space group P6/mmm (No. 191)
Asymmetric unit:
Zr  0.3333  0.6667  0.2497 x4  5 Zr 2.78-2.93
Al  0.0000  0.0000  0.0000 x1  2 Si 2.93, 12 Zr 3.15
Si  0.0000  0.0000  0.5000 x1  2 Al 2.93, 12 Zr 3.15

Calculated values
density: 5911 kg/m³

=====

Entry ii
Zr4AlSi | PBE | relaxed

Cell lengths 9.2504, 3.4318, 7.8142 Å; angles 90.00, 90.00, 90.00 degrees
Last column: nearest neighbours and their distance in Å.
Space group Pmma (No. 51)
Asymmetric unit:
Zr  0.0000  0.0000  0.0000 x2  2 Si 2.80, 8 Zr 2.95-3.09
Zr  0.0440  0.5000  0.3247 x4  2 Si 2.74, 1 Zr 2.86
Zr  0.2500  0.5000  0.9155 x2  2 Si 2.82, 4 Zr 2.95
Al  0.2500  0.0000  0.5666 x2  1 Si 2.85, 4 Zr 3.19
Si  0.2500  0.0000  0.2023 x2  8 Zr 2.74-2.82, 1 Al 2.85

Calculated values
density: 5622 kg/m³

=====

What should be chosen as the most stable of them? Choose entry ii.

=====

Entry i
Zr3Al3Si2 | PBE | relaxed

Cell lengths 6.6086, 6.6086, 3.7929 Å; angles 90.00, 90.00, 120.00 degrees
Last column: nearest neighbours and their distance in Å.
Space group P-62m (No. 189)
Asymmetric unit:
Zr  0.0000  0.3831  0.0000 x3  4 Si 2.80, 6 Al 2.92-3.11
Al  0.0000  0.7553  0.5000 x3  2 Si 2.55, 2 Al 2.80
Si  0.3333  0.6667  0.5000 x2  3 Al 2.55, 6 Zr 2.80

Calculated values
density: 4755 kg/m³

=====

Entry ii
Zr3Al3Si2 | PBE | relaxed

Cell lengths 7.3215, 7.3215, 3.1292 Å; angles 90.00, 90.00, 120.00 degrees
Last column: nearest neighbours and their distance in Å.
Space group P-62m (No. 189)
Asymmetric unit:
Zr  0.0000  0.7518  0.0000 x3  2 Si 2.80, 6 Al 2.98-3.03, 2 Zr 3.13
Al  0.0000  0.4052  0.5000 x3  4 Si 2.72, 6 Zr 2.98-3.03
Si  0.3333  0.6667  0.0000 x2  6 Al 2.72, 3 Zr 2.80

Calculated values
density: 4696 kg/m³

=====

What should be chosen as the most stable of them? Choose entry i.

=====

Entry i
Zr3Al3Si2 | PBE | relaxed

Cell lengths 8.1060, 8.1060, 5.2486 Å; angles 90.00, 90.00, 120.00 degrees
Last column: nearest neighbours and their distance in Å.
Space group P6_3/mcm (No. 193)
Asymmetric unit:
Zr  0.0000  0.4074  0.2500 x6  4 Si 2.79, 2 Al 2.86, 2 Zr 3.02
Al  0.0000  0.1988  0.7500 x6  6 Al 2.79-3.08, 4 Zr 2.86-3.12
Si  0.3333  0.6667  0.0000 x4  2 Si 2.62, 6 Zr 2.79

Calculated values
density: 4568 kg/m³

=====

Entry ii
Zr3Al3Si2 | PBE | relaxed

Cell lengths 5.4297, 7.1975, 7.8473 Å; angles 84.65, 70.04, 87.72 degrees
Last column: nearest neighbours and their distance in Å.
Space group P-1 (No. 2)
Asymmetric unit:
Zr  0.1320  0.2451  0.0065 x2  3 Si 2.77-2.89, 6 Al 2.80-3.04
Zr  0.1567  0.5848  0.3138 x2  4 Al 2.76-2.86, 3 Si 2.78-2.90, 1 Zr 3.00
Zr  0.3490  0.0614  0.3506 x2  5 Si 2.77-3.00, 4 Al 2.87-3.05
Al  0.3393  0.8732  0.0456 x2  2 Al 2.46-2.51, 1 Si 2.50
Al  0.3809  0.5891  0.8740 x2  1 Al 2.51, 2 Zr 2.76-2.80, 1 Si 2.76
Al  0.3865  0.3415  0.6000 x2  2 Si 2.54-2.59, 1 Al 2.72, 1 Zr 2.83
Si  0.0950  0.0587  0.7228 x2  1 Si 2.46, 2 Al 2.50-2.54
Si  0.1563  0.7404  0.6245 x2  1 Si 2.46, 1 Al 2.59

Calculated values
density: 4754 kg/m³

=====

What should be chosen as the most stable of them? Choose entry ii.